# 1
The following is a DFT calculation (PBE) of a relaxed structure of Tb3ZnIr.

The space group is P2_1/c (No. 14) and the conventional cell measures 8.7916, 5.4732 and 10.8969 Å, with angles of 90.00, 94.07 and 90.00 degrees. Symmetry generates all atoms from Tb at (0.0078, 0.1571, 0.3508), Tb at (0.2888, 0.2029, 0.1090), Tb at (0.3324, 0.7290, 0.3677), Zn at (0.4955, 0.2235, 0.3733) and Ir at (0.0307, 0.6592, 0.4078).

As for the formation energy: -446 meV per atom.


# 2
The following is a DFT calculation (PBE) of a relaxed structure of Pr2Ho4N.

The space group is I4/mmm (No. 139) and the conventional cell measures 4.7863, 4.7863 and 17.9305 Å, with angles of 90.00, 90.00 and 90.00 degrees. Symmetry generates all atoms from Pr at (0.0000, 0.0000, 0.1746), Ho at (0.0000, 0.0000, 0.3707), Ho at (0.0000, 0.5000, 0.0000) and N at (0.0000, 0.0000, 0.5000).

For the uncorrected formation energy, the calculation gives -0.303 eV per atom.


Please write out number 2 again, unchanged.
The following is a DFT calculation (PBE) of a relaxed structure of Pr2Ho4N.

The space group is I4/mmm (No. 139) and the conventional cell measures 4.7863, 4.7863 and 17.9305 Å, with angles of 90.00, 90.00 and 90.00 degrees. Symmetry generates all atoms from Pr at (0.0000, 0.0000, 0.1746), Ho at (0.0000, 0.0000, 0.3707), Ho at (0.0000, 0.5000, 0.0000) and N at (0.0000, 0.0000, 0.5000).

For the uncorrected formation energy, the calculation gives -0.303 eV per atom.


- Number 1 is which compound?
  Tb3ZnIr